Entry 1:
Computed, not measured: Sc4CuOs3 after structural relaxation at the PBE level of DFT.

Cell: 4.5559 6.4833 9.1122 Å, 90.00 90.00 90.00°
With the nearest neighbours (Å) after each atom.
Atoms (fractional coordinates):
Sc1 0.5000 0.7561 0.0000  6 Os 2.77-2.82, 2 Cu 2.82
Sc2 0.5000 0.7561 0.5000  6 Os 2.77-2.82, 2 Cu 2.82
Sc3 0.5000 0.2439 0.0000  6 Os 2.77-2.82, 2 Cu 2.82
Sc4 0.5000 0.2439 0.5000  6 Os 2.77-2.82, 2 Cu 2.82
Sc5 0.9999 0.7561 0.7500  6 Os 2.77-2.82, 2 Cu 2.82
Sc6 0.0001 0.7561 0.2500  6 Os 2.77-2.82, 2 Cu 2.82
Sc7 0.0001 0.2439 0.2500  6 Os 2.77-2.82, 2 Cu 2.82
Sc8 0.9999 0.2439 0.7500  6 Os 2.77-2.82, 2 Cu 2.82
Os1 0.0000 0.0000 0.0000  8 Sc 2.77
Os2 0.0000 0.0000 0.5000  8 Sc 2.77
Os3 0.4999 0.0000 0.7500  8 Sc 2.77
Os4 0.5001 0.0000 0.2500  8 Sc 2.77
Os5 0.4999 0.5000 0.7500  8 Sc 2.82
Os6 0.5001 0.5000 0.2500  8 Sc 2.82
Cu1 0.0000 0.5000 0.0000  8 Sc 2.82
Cu2 0.0000 0.5000 0.5000  8 Sc 2.82

Properties
mass density: 10.04 g cm⁻³
DOS at the Fermi energy: 13.855 states/eV/cell
size of the total moment: 0.000 μB per atom
total energy: -8.280 eV/atom
DFT formation energy: -0.39 eV/atom

Entry 2:
Computed, not measured: ScCuOs3 after structural relaxation at the PBE level of DFT.

Cell: 4.4681 4.4681 4.4681 Å, 90.00 90.00 90.00°
With the nearest neighbours (Å) after each atom.
Atoms (fractional coordinates):
Sc1 0.5000 0.5000 0.5000  12 Os 3.16
Os1 0.0000 0.5000 0.0000  2 Cu 2.23
Os2 0.0000 0.0000 0.5000  2 Cu 2.23
Os3 0.5000 0.0000 0.0000  2 Cu 2.23
Cu1 0.0000 0.0000 0.0000  6 Os 2.23

Properties
mass density: 12.64 g cm⁻³
DOS at the Fermi energy: 9.476 states/eV/cell
size of the total moment: 0.000 μB per atom
total energy: -7.378 eV/atom
DFT formation energy: 1.45 eV/atom
ΔE to the lowest computed polymorph: 0.000 eV per atom

Entry 3:
Computed, not measured: Sc4CuOs2 after structural relaxation at the PBE level of DFT.

Cell: 4.5536 4.5536 7.7902 Å, 73.01 73.01 60.00°
With the nearest neighbours (Å) after each atom.
Atoms (fractional coordinates):
Sc1 0.8718 0.8718 0.3846  4 Os 2.74-2.83, 1 Cu 2.82
Sc2 0.1282 0.1282 0.6154  4 Os 2.74-2.83, 1 Cu 2.82
Sc3 0.6207 0.6207 0.1378  4 Os 2.74-2.78, 3 Cu 2.82
Sc4 0.3793 0.3793 0.8622  4 Os 2.74-2.78, 3 Cu 2.82
Cu1 0.0000 0.0000 0.0000  8 Sc 2.82
Os1 0.7471 0.7471 0.7588  8 Sc 2.74-2.83
Os2 0.2529 0.2529 0.2412  8 Sc 2.74-2.83

Properties
mass density: 7.87 g cm⁻³
DOS at the Fermi energy: 4.569 states/eV/cell
size of the total moment: 0.000 μB per atom
total energy: -7.757 eV/atom
DFT formation energy: -0.35 eV/atom